No. 1
The following is a DFT calculation (SCAN) of KPCCl2 at its PBEsol-relaxed geometry.

Properties
Crystal system: tetragonal
D(E_F): 0.502 states/eV/atom
M_tot: 0.00 μB/f.u.
Final energy: -43.88 eV for the cell shown
Space group: P4/mmm (123)

Cell lengths 5.496, 5.496, 3.430 Å; angles 90.00, 90.00, 90.00 degrees
Fractional positions:
K 0.000 0.000 0.000
P 0.500 0.500 0.000
C 0.500 0.500 0.500
Cl 0.000 0.500 0.500
Cl 0.500 0.000 0.500


No. 2
The following is a DFT calculation (SCAN) of KTe2CCl at its PBEsol-relaxed geometry.

Properties
Crystal system: tetragonal
D(E_F): 0.431 states/eV/atom
M_tot: 0.00 μB/f.u.
Final energy: -99.89 eV for the cell shown
Space group: P4/mmm (123)

Cell lengths 4.544, 4.544, 6.555 Å; angles 90.00, 90.00, 90.00 degrees
Fractional positions:
K 0.000 0.000 0.000
Te 0.000 0.500 0.500
Te 0.500 0.000 0.500
C 0.000 0.000 0.500
Cl 0.500 0.500 0.000


No. 3
The following is a DFT calculation (SCAN) of K2ZrCCl at its PBEsol-relaxed geometry.

Properties
Crystal system: tetragonal
D(E_F): 0.798 states/eV/atom
M_tot: 6.50 μB/f.u.
Final energy: -59.34 eV for the cell shown
Space group: P4/mmm (123)

Cell lengths 6.908, 6.908, 4.831 Å; angles 90.00, 90.00, 90.00 degrees
Fractional positions:
K 0.000 0.500 0.000
K 0.500 0.000 0.000
Zr 0.000 0.000 0.000
C 0.500 0.500 0.500
Cl 0.000 0.000 0.500


No. 4
The following is a DFT calculation (SCAN) of La5C2Cl9 at its PBEsol-relaxed geometry.

Properties
Crystal system: triclinic
D(E_F): 0.000 states/eV/atom
M_tot: 0.00 μB/f.u.
Final energy: -686.60 eV for the cell shown
Space group: P-1 (2)

Cell lengths 8.571, 8.597, 11.815 Å; angles 84.94, 85.67, 61.29 degrees
Fractional positions:
La 0.104 0.203 0.010
La 0.127 0.771 0.271
La 0.207 0.181 0.490
La 0.234 0.421 0.742
La 0.393 0.899 0.784
La 0.607 0.101 0.216
La 0.766 0.579 0.258
La 0.793 0.819 0.510
La 0.873 0.229 0.729
La 0.896 0.797 0.990
C 0.145 0.195 0.813
C 0.175 0.185 0.689
C 0.825 0.815 0.311
C 0.855 0.805 0.187
Cl 0.000 0.000 0.500
Cl 0.084 0.836 0.768
Cl 0.158 0.374 0.255
Cl 0.173 0.551 0.504
Cl 0.215 0.830 0.032
Cl 0.221 0.460 0.979
Cl 0.391 0.918 0.276
Cl 0.458 0.823 0.551
Cl 0.486 0.488 0.230
Cl 0.500 0.000 0.000
Cl 0.514 0.512 0.770
Cl 0.542 0.177 0.449
Cl 0.609 0.082 0.724
Cl 0.779 0.540 0.021
Cl 0.785 0.170 0.968
Cl 0.827 0.449 0.496
Cl 0.842 0.626 0.745
Cl 0.916 0.164 0.232


No. 5
The following is a DFT calculation (SCAN) of LaCCl2 at its PBEsol-relaxed geometry.

Properties
Crystal system: cubic
M_tot: 3.00 μB/f.u.
Final energy: -284.19 eV for the cell shown
Space group: Fm-3m (225)

Cell lengths 6.816, 6.816, 6.816 Å; angles 90.00, 90.00, 90.00 degrees
Fractional positions:
La 0.000 0.000 0.000
La 0.000 0.500 0.500
La 0.500 0.000 0.500
La 0.500 0.500 0.000
C 0.000 0.000 0.500
C 0.000 0.500 0.000
C 0.500 0.000 0.000
C 0.500 0.500 0.500
Cl 0.250 0.250 0.250
Cl 0.250 0.250 0.750
Cl 0.250 0.750 0.250
Cl 0.250 0.750 0.750
Cl 0.750 0.250 0.250
Cl 0.750 0.250 0.750
Cl 0.750 0.750 0.250
Cl 0.750 0.750 0.750


No. 6
The following is a DFT calculation (SCAN) of LaCN2Cl at its PBEsol-relaxed geometry.

Properties
Crystal system: monoclinic
D(E_F): 0.000 states/eV/atom
M_tot: 0.00 μB/f.u.
Final energy: -174.32 eV for the cell shown
Space group: P2_1/m (11)

Cell lengths 5.309, 3.983, 7.461 Å; angles 90.00, 100.71, 90.00 degrees
Fractional positions:
La 0.177 0.250 0.237
La 0.823 0.750 0.763
C 0.347 0.250 0.859
C 0.653 0.750 0.141
N 0.121 0.250 0.881
N 0.429 0.750 0.160
N 0.571 0.250 0.840
N 0.879 0.750 0.119
Cl 0.256 0.750 0.544
Cl 0.744 0.250 0.456


No. 7
The following is a DFT calculation (SCAN) of La2CN3Cl at its PBEsol-relaxed geometry.

Properties
Crystal system: orthorhombic
D(E_F): 0.000 states/eV/atom
M_tot: 0.00 μB/f.u.
Final energy: -287.02 eV for the cell shown
Space group: Cmmm (65)

Cell lengths 8.181, 8.181, 3.908 Å; angles 90.00, 90.00, 108.97 degrees
Fractional positions:
La 0.138 0.862 0.000
La 0.290 0.290 0.500
La 0.710 0.710 0.500
La 0.862 0.138 0.000
C 0.000 0.500 0.500
C 0.500 0.000 0.500
N 0.003 0.652 0.500
N 0.156 0.156 0.000
N 0.348 0.997 0.500
N 0.652 0.003 0.500
N 0.844 0.844 0.000
N 0.997 0.348 0.500
Cl 0.378 0.622 0.000
Cl 0.622 0.378 0.000


No. 8
The following is a DFT calculation (SCAN) of La2OsCCl at its PBEsol-relaxed geometry.

Properties
Crystal system: tetragonal
D(E_F): 0.598 states/eV/atom
M_tot: 0.00 μB/f.u.
Final energy: -172.42 eV for the cell shown
Space group: P4/mmm (123)

Cell lengths 5.307, 5.307, 3.666 Å; angles 90.00, 90.00, 90.00 degrees
Fractional positions:
La 0.000 0.500 0.000
La 0.500 0.000 0.000
Os 0.000 0.000 0.500
C 0.500 0.500 0.500
Cl 0.500 0.500 0.000